The following is a PBE calculation of an optimized crystal structure of LaW2I, from the Alexandria database.

D(E_F) = 1.4033 states/eV per atom
Total magnetic moment = 0.000 μB per formula unit
Uncorrected formation energy = 1.47 eV/atom

Cell and atoms, written as CIF:
```
data_LaW2I
_cell_length_a 6.9607
_cell_length_b 6.9607
_cell_length_c 6.9607
_cell_angle_alpha 90.00
_cell_angle_beta 90.00
_cell_angle_gamma 90.00
_symmetry_space_group_name_H-M 'F m -3 m'
_symmetry_Int_Tables_number 225
_symmetry_space_group_name_Hall '-F 4 2 3'
loop_
_atom_site_label
_atom_site_fract_x
_atom_site_fract_y
_atom_site_fract_z
La1 0.0000 0.0000 0.0000
W1 0.2500 0.2500 0.2500
I1 0.0000 0.0000 0.5000
```

The following is a PBE calculation of an optimized crystal structure of DyAlPt, from the Alexandria database.

D(E_F) = 0.5949 states/eV per atom
Formation energy from the elements = -1.146 eV/atom
Total magnetic moment = 0.000 μB per formula unit

Cell and atoms, written as CIF:
```
data_DyAlPt
_cell_length_a 7.0213
_cell_length_b 4.2725
_cell_length_c 11.8988
_cell_angle_alpha 90.00
_cell_angle_beta 90.98
_cell_angle_gamma 90.00
_symmetry_space_group_name_H-M 'P 1 21/m 1'
_symmetry_Int_Tables_number 11
loop_
_symmetry_equiv_pos_as_xyz
'x,y,z'
'-x,-y,-z'
'-x,y+1/2,-z'
'x,-y+1/2,z'
loop_
_atom_site_label
_atom_site_fract_x
_atom_site_fract_y
_atom_site_fract_z
Dy1 0.0271 0.2500 0.3748
Dy2 0.1526 0.2500 0.0812
Dy3 0.4700 0.7500 0.7086
Al1 0.1416 0.2500 0.7964
Al2 0.3537 0.7500 0.4569
Al3 0.4955 0.7500 0.0840
Pt1 0.2367 0.7500 0.2446
Pt2 0.2704 0.7500 0.9091
Pt3 0.2726 0.2500 0.5739
```

The following is a PBE calculation of an optimized crystal structure of PaTi2Rh, from the Alexandria database.

D(E_F) = 2.3574 states/eV per atom
Formation energy from the elements = -0.324 eV/atom
Total magnetic moment = 0.006 μB per formula unit

Cell and atoms, written as CIF:
```
data_PaTi2Rh
_cell_length_a 3.0602
_cell_length_b 3.0602
_cell_length_c 7.7551
_cell_angle_alpha 90.00
_cell_angle_beta 90.00
_cell_angle_gamma 90.00
_symmetry_space_group_name_H-M 'P 4/m m m'
_symmetry_Int_Tables_number 123
_symmetry_space_group_name_Hall '-P 4 2'
loop_
_atom_site_label
_atom_site_fract_x
_atom_site_fract_y
_atom_site_fract_z
Pa1 0.0000 0.0000 0.0000
Ti1 0.5000 0.5000 0.2934
Rh1 0.0000 0.0000 0.5000
```

The following is a PBE calculation of an optimized crystal structure of PuPaCrRe, from the Alexandria database.

D(E_F) = 0.9420 states/eV per atom
Formation energy from the elements = 0.221 eV/atom
Total magnetic moment = 2.470 μB per formula unit

Cell and atoms, written as CIF:
```
data_PuPaCrRe
_cell_length_a 6.8104
_cell_length_b 6.8104
_cell_length_c 6.8104
_cell_angle_alpha 90.00
_cell_angle_beta 90.00
_cell_angle_gamma 90.00
_symmetry_space_group_name_H-M 'F -4 3 m'
_symmetry_Int_Tables_number 216
_symmetry_space_group_name_Hall 'F -4 2 3'
loop_
_atom_site_label
_atom_site_fract_x
_atom_site_fract_y
_atom_site_fract_z
Pu1 0.0000 0.0000 0.0000
Pa1 0.0000 0.0000 0.5000
Cr1 0.2500 0.2500 0.7500
Re1 0.2500 0.2500 0.2500
```

- What is the formula in the first record?
  LaW2I

- Which value of D(E_F) does entry 2 give?
  0.5949 states/eV per atom

- Look up the total magnetic moment of the fourth one.
  2.470 μB per formula unit

- The lowest D(E_F) belongs to which entry?
  DyAlPt